This record from Alexandria via LeMat-Bulk describes a relaxed CdGaTe2I crystal. The functional is PBE-GGA.

Geometry as extended XYZ:
```
5
Lattice="5.600 0.000 0.000 0.000 5.600 0.000 0.000 0.000 6.124" Properties=species:S:1:pos:R:3 pbc="T T T"
Ga 2.800 2.800 3.062
Te 0.000 2.800 0.000
Te 2.800 0.000 0.000
Cd 0.000 0.000 0.000
I 0.000 0.000 3.062
```

Output
For the uncorrected formation energy, the calculation gives 0.22 eV/atom. Its raw total energy is -2.140 eV/atom. The volume comes out at 38.407 A^3/atom. The value obtained for the density of states at the Fermi level is 1.27 states/eV per atom. As for the total magnetization: 0.00 μB per formula unit.


This record from Alexandria via LeMat-Bulk describes a relaxed Ac2HfAlS6 crystal. The functional is PBE-GGA.

Geometry as extended XYZ:
```
10
Lattice="6.983 0.000 -0.408 0.000 6.779 0.000 -3.164 -3.389 5.035" Properties=species:S:1:pos:R:3 pbc="T T T"
Ac 0.043 0.000 2.425
Ac 3.776 3.389 2.201
S 2.980 0.000 2.209
S 5.231 5.123 0.221
S -1.412 -1.734 4.406
S 0.838 3.389 2.418
S 5.231 1.656 0.221
S -1.412 1.734 4.406
Al 3.491 0.000 -0.204
Hf 0.000 3.389 0.000
```

Output
For the uncorrected formation energy, the calculation gives -1.66 eV/atom. Its raw total energy is -6.328 eV/atom. The volume comes out at 22.958 A^3/atom. The value obtained for the density of states at the Fermi level is 0.40 states/eV per atom. As for the total magnetization: 0.00 μB per formula unit.


This record from Alexandria via LeMat-Bulk describes a relaxed CsSb2Te2 crystal. The functional is PBE-GGA.

Geometry as extended XYZ:
```
10
Lattice="9.778 0.000 0.000 0.000 9.778 0.000 0.000 0.000 4.059" Properties=species:S:1:pos:R:3 pbc="T T T"
Te 2.176 7.065 2.029
Te 7.065 7.602 2.029
Te 7.602 2.713 2.029
Te 2.713 2.176 2.029
Sb 3.617 8.506 0.000
Sb 1.272 3.617 0.000
Sb 8.506 6.161 0.000
Sb 6.161 1.272 0.000
Cs 0.000 0.000 0.000
Cs 4.889 4.889 0.000
```

Output
For the uncorrected formation energy, the calculation gives -0.20 eV/atom. Its raw total energy is -3.280 eV/atom. The volume comes out at 38.804 A^3/atom. The value obtained for the density of states at the Fermi level is 0.30 states/eV per atom. As for the total magnetization: 0.00 μB per formula unit.


This record from Alexandria via LeMat-Bulk describes a relaxed Zn4GaSe5 crystal. The functional is PBE-GGA.

Geometry as extended XYZ:
```
10
Lattice="0.332 -0.646 4.045 1.123 -3.695 1.405 16.692 3.259 1.239" Properties=species:S:1:pos:R:3 pbc="T T T"
Se 13.859 0.848 3.174
Se 11.181 -1.517 5.104
Se 4.343 -1.915 3.513
Se 7.044 0.457 1.583
Se 16.568 3.223 1.243
Ga 3.869 -3.641 5.365
Zn 6.774 -1.209 3.427
Zn 13.571 -0.823 5.018
Zn 9.444 1.154 1.497
Zn 16.242 1.540 3.089
```

Output
For the uncorrected formation energy, the calculation gives -0.59 eV/atom. Its raw total energy is -3.148 eV/atom. The volume comes out at 24.704 A^3/atom. The value obtained for the density of states at the Fermi level is 0.27 states/eV per atom. As for the total magnetization: 0.00 μB per formula unit.


This record from Alexandria via LeMat-Bulk describes a relaxed Mn2CuRh crystal. The functional is PBE-GGA.

Geometry as extended XYZ:
```
4
Lattice="8.599 -0.007 -0.004 8.207 2.567 -0.004 8.207 1.250 2.242" Properties=species:S:1:pos:R:3 pbc="T T T"
Mn 12.503 1.905 1.117
Mn 0.003 0.000 0.000
Cu 18.759 2.858 1.676
Rh 6.253 0.953 0.559
```

Output
Its raw total energy is -7.231 eV/atom. The value obtained for the formation energy is 0.22 eV per atom. The volume comes out at 12.424 A^3/atom. The value obtained for the density of states at the Fermi level is 1.39 states/eV per atom. As for the total magnetization: 2.88 μB per formula unit.


This record from Alexandria via LeMat-Bulk describes a relaxed PmYTm3 crystal. The functional is PBE-GGA.

Geometry as extended XYZ:
```
10
Lattice="-1.628 -6.865 -6.599 -1.744 -3.803 4.386 -4.819 2.901 0.599" Properties=species:S:1:pos:R:3 pbc="T T T"
Tm -4.471 0.341 2.450
Tm -4.289 -3.955 -1.999
Tm -4.444 1.052 -0.813
Tm -4.336 -4.757 1.475
Tm -2.892 -6.955 -2.950
Tm -4.485 -9.776 -2.139
Y -6.169 -2.005 0.136
Y -1.208 -3.986 -3.797
Pm -2.736 -1.893 0.493
Pm -5.924 -6.898 -0.926
```

Output
Its raw total energy is -4.844 eV/atom. The value obtained for the formation energy is 0.08 eV per atom. The volume comes out at 31.666 A^3/atom. The value obtained for the density of states at the Fermi level is 1.64 states/eV per atom. As for the total magnetization: 0.00 μB per formula unit.


This record from Alexandria via LeMat-Bulk describes a relaxed TaMo crystal. The functional is PBE-GGA.

Geometry as extended XYZ:
```
6
Lattice="-1.767 -4.755 -1.816 4.578 1.248 2.553 -2.025 -0.780 4.012" Properties=species:S:1:pos:R:3 pbc="T T T"
Ta 2.417 -0.796 1.065
Ta 0.375 -2.728 -0.341
Ta 2.522 -0.129 3.841
Mo -1.757 -4.745 -1.809
Mo 0.409 -2.128 2.386
Mo -1.745 -4.166 0.903
```

Output
Its raw total energy is -11.503 eV/atom. The value obtained for the formation energy is -0.16 eV per atom. The volume comes out at 16.908 A^3/atom. The value obtained for the density of states at the Fermi level is 0.82 states/eV per atom. As for the total magnetization: 0.00 μB per formula unit.


This record from Alexandria via LeMat-Bulk describes a relaxed Pr2TlPd3 crystal. The functional is PBE-GGA.

Geometry as extended XYZ:
```
12
Lattice="-5.194 0.132 -3.126 1.605 -5.844 0.184 -2.310 1.942 8.253" Properties=species:S:1:pos:R:3 pbc="T T T"
Tl -3.175 -3.163 0.809
Tl -2.725 -0.607 4.502
Pd -4.174 -1.532 -1.140
Pd -0.807 -4.491 0.498
Pd -1.319 -0.294 2.179
Pd -1.726 -2.238 6.452
Pd -5.092 0.721 4.813
Pd -4.580 -3.476 3.132
Pr -1.250 -3.379 3.483
Pr -2.716 -4.322 -2.226
Pr -0.873 -1.390 -0.716
Pr -4.649 -0.391 1.828
```

Output
Its raw total energy is -5.171 eV/atom. The value obtained for the formation energy is -0.59 eV per atom. The volume comes out at 23.585 A^3/atom. The value obtained for the density of states at the Fermi level is 0.63 states/eV per atom. As for the total magnetization: 0.00 μB per formula unit.